(1)
A relaxed AsP2Br crystal, computed with PBEsol.

Lattice parameters (Å, degrees): 3.611 3.611 6.550 106.00 106.00 90.00
Positions (direct):
1 P 0.250 0.750 0.500
2 P 0.750 0.250 0.500
3 Br 0.000 0.000 0.000
4 As 0.500 0.500 0.000

Summary:
Its space group is No. 139. The calculation puts the density of states at the Fermi level at 2.91 states/eV/f.u. For the total magnetization, the calculation gives 0.0 μB/f.u. The formation energy without anion corrections comes out at 0.7392 eV/atom.

---

(2)
A relaxed AlPt2W crystal, computed with PBEsol.

Lattice parameters (Å, degrees): 2.778 4.701 4.853 99.29 90.00 107.19
Positions (direct):
1 Al 0.500 0.000 0.000
2 Pt 0.246 0.492 0.252
3 Pt 0.754 0.508 0.748
4 W 0.000 0.000 0.500

Summary:
Its space group is No. 12. The calculation puts the density of states at the Fermi level at 2.53 states/eV/f.u. For the total magnetization, the calculation gives 0.0 μB/f.u. Its energy of formation is -0.305 eV per atom.

---

(3)
A relaxed CuNiNF2 crystal, computed with PBEsol.

Lattice parameters (Å, degrees): 3.719 3.719 3.877 90.00 90.00 90.00
Site moments in Bohr magnetons follow the coordinates.
Positions (direct):
1 F 0.000 0.500 0.000  0.03
2 F 0.500 0.000 0.000  0.03
3 N 0.000 0.000 0.500  0.32
4 Ni 0.500 0.500 0.500  1.15
5 Cu 0.000 0.000 0.000  0.04

Summary:
Its space group is No. 123. The calculation puts the density of states at the Fermi level at 7.11 states/eV/f.u. For the total magnetization, the calculation gives 1.7 μB/f.u. The formation energy without anion corrections comes out at 0.2163 eV/atom.

---

(4)
A relaxed LiCaIr2 crystal, computed with PBEsol.

Lattice parameters (Å, degrees): 2.756 2.756 8.859 90.00 90.00 114.95
Positions (direct):
1 Ca 0.500 0.500 0.000
2 Ir 0.000 0.000 0.263
3 Ir 0.000 0.000 0.737
4 Li 0.500 0.500 0.500

Summary:
Its space group is No. 65. The calculation puts the density of states at the Fermi level at 2.12 states/eV/f.u. For the total magnetization, the calculation gives 0.0 μB/f.u. Its energy of formation is 0.095 eV per atom.

---

(5)
A relaxed Ag2Cl3 crystal, computed with PBEsol.

Lattice parameters (Å, degrees): 6.504 6.504 7.029 62.44 62.44 60.00
Positions (direct):
1 Ag 0.841 0.841 0.478
2 Ag 0.159 0.159 0.522
3 Ag 0.341 0.341 0.978
4 Ag 0.659 0.659 0.022
5 Cl 0.928 0.250 0.250
6 Cl 0.428 0.072 0.750
7 Cl 0.750 0.428 0.750
8 Cl 0.250 0.572 0.250
9 Cl 0.572 0.928 0.250
10 Cl 0.072 0.750 0.750

Summary:
Its space group is No. 167. The calculation puts the density of states at the Fermi level at 6.02 states/eV/f.u. For the total magnetization, the calculation gives 0.0 μB/f.u. The formation energy without anion corrections comes out at -0.3622 eV/atom.

---

(6)
A relaxed CuB3P crystal, computed with PBEsol.

Lattice parameters (Å, degrees): 3.819 3.819 3.819 90.00 90.00 90.00
Positions (direct):
1 B 0.500 0.000 0.000
2 B 0.000 0.500 0.000
3 B 0.000 0.000 0.500
4 Cu 0.500 0.500 0.500
5 P 0.000 0.000 0.000

Summary:
Its space group is No. 221. The calculation puts the density of states at the Fermi level at 1.72 states/eV/f.u. For the total magnetization, the calculation gives 0.0 μB/f.u. Its energy of formation is 1.539 eV per atom.

---

(7)
A relaxed Fe2PtRh crystal, computed with PBEsol.

Lattice parameters (Å, degrees): 2.848 4.274 5.004 115.28 106.53 90.00
Site moments in Bohr magnetons follow the coordinates.
Positions (direct):
1 Pt 0.488 0.488 0.975  0.44
2 Fe 0.012 0.012 0.024  2.84
3 Fe 0.736 0.236 0.472  2.90
4 Rh 0.265 0.765 0.529  0.83

Summary:
Its space group is No. 44. The calculation puts the density of states at the Fermi level at 4.13 states/eV/f.u. For the total magnetization, the calculation gives 7.0 μB/f.u. Its energy of formation is 0.004 eV per atom.

---

(8)
A relaxed KSb5O13 crystal, computed with PBEsol.

Lattice parameters (Å, degrees): 5.587 5.587 16.896 90.00 90.00 107.28
Positions (direct):
1 Sb 0.235 0.770 0.862
2 Sb 0.002 0.002 0.000
3 Sb 0.235 0.770 0.638
4 Sb 0.616 0.388 0.922
5 Sb 0.002 0.002 0.500
6 Sb 0.770 0.235 0.362
7 Sb 0.388 0.616 0.422
8 Sb 0.770 0.235 0.138
9 Sb 0.388 0.616 0.078
10 Sb 0.616 0.388 0.578
11 O 0.530 0.070 0.633
12 O 0.313 0.313 0.000
13 O 0.313 0.313 0.500
14 O 0.474 0.934 0.133
15 O 0.185 0.819 0.750
16 O 0.934 0.474 0.867
17 O 0.017 0.987 0.614
18 O 0.070 0.530 0.133
19 O 0.228 0.776 0.990
20 O 0.554 0.450 0.348
21 O 0.530 0.070 0.867
22 O 0.450 0.554 0.652
23 O 0.554 0.450 0.152
24 O 0.776 0.228 0.010
25 O 0.691 0.691 0.500
26 O 0.934 0.474 0.633
27 O 0.228 0.776 0.510
28 O 0.070 0.530 0.367
29 O 0.987 0.017 0.114
30 O 0.017 0.987 0.886
31 O 0.819 0.185 0.250
32 O 0.987 0.017 0.386
33 O 0.776 0.228 0.490
34 O 0.691 0.691 0.000
35 O 0.450 0.554 0.848
36 O 0.474 0.934 0.367
37 K 0.130 0.875 0.250
38 K 0.875 0.130 0.750

Summary:
Its space group is No. 63. For the total magnetization, the calculation gives 0.0 μB/f.u. The formation energy without anion corrections comes out at -1.4501 eV/atom.

---

(9)
A relaxed Mg2Zn crystal, computed with PBEsol.

Lattice parameters (Å, degrees): 5.288 5.380 5.380 76.02 60.56 60.56
Positions (direct):
1 Mg 0.837 0.827 0.500
2 Mg 0.163 0.173 0.500
3 Mg 0.337 0.500 0.827
4 Mg 0.663 0.500 0.173
5 Zn 0.750 0.000 0.000
6 Zn 0.250 0.000 0.000

Summary:
Its space group is No. 140. The calculation puts the density of states at the Fermi level at 1.09 states/eV/f.u. For the total magnetization, the calculation gives 0.0 μB/f.u. Its energy of formation is -0.075 eV per atom.

---

(10)
A relaxed YCu2ReGe crystal, computed with PBEsol.

Lattice parameters (Å, degrees): 4.614 4.614 5.038 90.00 90.00 90.00
Site moments in Bohr magnetons follow the coordinates.
Positions (direct):
1 Y 0.000 0.000 0.000  -0.15
2 Re 0.500 0.500 0.500  2.58
3 Ge 0.000 0.000 0.500  -0.09
4 Cu 0.000 0.500 0.000  -0.02
5 Cu 0.500 0.000 0.000  -0.02

Summary:
Its space group is No. 123. The calculation puts the density of states at the Fermi level at 3.42 states/eV/f.u. For the total magnetization, the calculation gives 2.6 μB/f.u. Its energy of formation is 2.102 eV per atom.

---

(11)
A relaxed SrCe2Se4 crystal, computed with PBEsol.

Lattice parameters (Å, degrees): 7.692 7.692 7.692 109.48 109.48 109.45
Site moments in Bohr magnetons follow the coordinates.
Positions (direct):
1 Se 0.727 0.976 0.093  -0.02
2 Se 0.024 0.117 0.751  -0.02
3 Se 0.367 0.774 0.251  -0.02
4 Se 0.883 0.634 0.907  -0.02
5 Se 0.884 0.633 0.407  -0.02
6 Se 0.226 0.477 0.593  -0.02
7 Se 0.366 0.273 0.249  -0.02
8 Se 0.523 0.116 0.749  -0.02
9 Sr 0.500 0.500 0.000  0.00
10 Sr 0.750 0.250 0.500  0.00
11 Ce 0.252 0.875 0.877  0.94
12 Ce 0.998 0.375 0.123  0.94
13 Ce 0.625 0.748 0.623  0.94
14 Ce 0.125 0.002 0.377  0.94

Summary:
Its space group is No. 122. The calculation puts the density of states at the Fermi level at 14.53 states/eV/f.u. For the total magnetization, the calculation gives 2.0 μB/f.u. The formation energy without anion corrections comes out at -1.8612 eV/atom.

---

(12)
A relaxed Al2Ni crystal, computed with PBEsol.

Lattice parameters (Å, degrees): 2.947 4.793 6.331 74.63 76.54 72.10
Positions (direct):
1 Ni 0.362 0.596 0.680
2 Ni 0.638 0.404 0.320
3 Al 0.098 0.174 0.630
4 Al 0.655 0.745 0.945
5 Al 0.902 0.826 0.370
6 Al 0.345 0.255 0.055

Summary:
Its space group is No. 12. The calculation puts the density of states at the Fermi level at 0.72 states/eV/f.u. For the total magnetization, the calculation gives 0.0 μB/f.u. Its energy of formation is -0.464 eV per atom.